Record 1
## Pm5Sm2Th (GGA-PBE)

Data for a relaxed Pm5Sm2Th crystal.

Cell lengths 5.1601, 7.2613, 14.5338 Å; angles 90.00, 90.00, 90.00 degrees
With the nearest neighbours (Å) after each atom.
Sites, in units of the cell vectors:
Pm: 0.0000 0.0011 0.2515  1 Th 3.61, 7 Pm 3.62-3.69, 4 Sm 3.63-3.69
Pm: 0.5000 0.2556 0.8776  4 Sm 3.54-3.72, 2 Th 3.60, 6 Pm 3.62-3.69
Pm: 0.0000 0.5011 0.2485  1 Th 3.61, 7 Pm 3.62-3.69, 4 Sm 3.63-3.69
Pm: 0.5000 0.7444 0.1224  4 Sm 3.54-3.72, 2 Th 3.60, 6 Pm 3.62-3.69
Pm: 0.0000 0.0000 0.0000  2 Th 3.63, 6 Pm 3.64-3.66, 4 Sm 3.65
Pm: 0.0000 0.4989 0.7515  1 Th 3.61, 7 Pm 3.62-3.69, 4 Sm 3.63-3.69
Pm: 0.0000 0.9989 0.7485  1 Th 3.61, 7 Pm 3.62-3.69, 4 Sm 3.63-3.69
Pm: 0.0000 0.5000 0.5000  2 Th 3.63, 6 Pm 3.64-3.66, 4 Sm 3.65
Pm: 0.5000 0.2444 0.3776  4 Sm 3.54-3.72, 2 Th 3.60, 6 Pm 3.62-3.69
Pm: 0.5000 0.7556 0.6224  4 Sm 3.54-3.72, 2 Th 3.60, 6 Pm 3.62-3.69
Sm: 0.5000 0.7571 0.3778  10 Pm 3.54-3.72, 2 Th 3.59
Sm: 0.5000 0.7429 0.8778  10 Pm 3.54-3.72, 2 Th 3.59
Sm: 0.5000 0.2429 0.6222  10 Pm 3.54-3.72, 2 Th 3.59
Sm: 0.5000 0.2571 0.1222  10 Pm 3.54-3.72, 2 Th 3.59
Th: 0.0000 0.5000 0.0000  4 Sm 3.59, 8 Pm 3.60-3.63
Th: 0.0000 0.0000 0.5000  4 Sm 3.59, 8 Pm 3.60-3.63

ΔH_f (0 K) ... 0.031 eV/atom
V ... 34.036 A^3/atom

---

Record 2
## Pm5Sm12Th2 (GGA-PBE)

Data for a relaxed Pm5Sm12Th2 crystal.

Cell lengths 6.2969, 9.6085, 14.9569 Å; angles 129.92, 85.90, 109.12 degrees
With the nearest neighbours (Å) after each atom.
Sites, in units of the cell vectors:
Sm: 0.2562 0.3592 0.0241  2 Th 3.56-3.58, 2 Pm 3.57-3.67, 8 Sm 3.60-3.74
Sm: 0.1048 0.9444 0.7105  8 Sm 3.59-3.69, 3 Pm 3.62-3.65, 1 Th 3.62
Sm: 0.1582 0.4253 0.8167  7 Sm 3.59-3.70, 4 Pm 3.61-3.65, 1 Th 3.62
Sm: 0.8418 0.5747 0.1833  7 Sm 3.59-3.70, 4 Pm 3.61-3.65, 1 Th 3.62
Sm: 0.5250 0.7357 0.5515  7 Sm 3.62-3.65, 5 Pm 3.63-3.69
Sm: 0.7438 0.6408 0.9759  2 Th 3.56-3.58, 2 Pm 3.57-3.67, 8 Sm 3.60-3.74
Sm: 0.4750 0.2643 0.4485  7 Sm 3.62-3.65, 5 Pm 3.63-3.69
Sm: 0.0540 0.4774 0.6085  7 Sm 3.59-3.67, 1 Th 3.63, 4 Pm 3.63-3.65
Sm: 0.8952 0.0556 0.2895  8 Sm 3.59-3.69, 3 Pm 3.62-3.65, 1 Th 3.62
Sm: 0.3201 0.8456 0.1297  2 Pm 3.56-3.67, 2 Th 3.57-3.58, 8 Sm 3.60-3.73
Sm: 0.9460 0.5226 0.3915  7 Sm 3.59-3.67, 1 Th 3.63, 4 Pm 3.63-3.65
Sm: 0.6799 0.1544 0.8703  2 Pm 3.56-3.67, 2 Th 3.57-3.58, 8 Sm 3.60-3.73
Pm: 0.5789 0.2096 0.6580  8 Sm 3.63-3.67, 4 Pm 3.63-3.67
Pm: 0.3662 0.3082 0.2310  3 Th 3.53-3.62, 8 Sm 3.56-3.69, 1 Pm 3.67
Pm: 0.6338 0.6918 0.7690  3 Th 3.53-3.62, 8 Sm 3.56-3.69, 1 Pm 3.67
Pm: 0.4211 0.7904 0.3420  8 Sm 3.63-3.67, 4 Pm 3.63-3.67
Pm: 0.0000 0.0000 0.5000  4 Pm 3.63-3.64, 8 Sm 3.63-3.65
Th: 0.2118 0.8986 0.9239  3 Pm 3.53-3.62, 7 Sm 3.56-3.63, 2 Th 3.60-3.61
Th: 0.7882 0.1014 0.0761  3 Pm 3.53-3.62, 7 Sm 3.56-3.63, 2 Th 3.60-3.61

ΔH_f (0 K) ... 0.026 eV/atom
V ... 33.879 A^3/atom
Energy above the most stable polymorph in this dataset ... 0 kJ/mol of formula units

---

Record 3
## PmSm14Th (GGA-PBE)

Data for a relaxed PmSm14Th crystal.

Cell lengths 7.2529, 7.2529, 10.2752 Å; angles 90.00, 90.00, 90.01 degrees
With the nearest neighbours (Å) after each atom.
Sites, in units of the cell vectors:
Sm: 0.6278 0.3722 0.2483  10 Sm 3.59-3.67, 1 Th 3.60, 1 Pm 3.64
Sm: 0.1222 0.8778 0.7517  10 Sm 3.59-3.67, 1 Th 3.60, 1 Pm 3.64
Sm: 0.8748 0.6249 0.0000  8 Sm 3.62, 2 Th 3.63, 2 Pm 3.63
Sm: 0.1222 0.8778 0.2483  10 Sm 3.59-3.67, 1 Th 3.60, 1 Pm 3.64
Sm: 0.3751 0.6249 0.5000  12 Sm 3.63-3.66
Sm: 0.6278 0.8778 0.7517  10 Sm 3.59-3.67, 1 Th 3.60, 1 Pm 3.64
Sm: 0.6278 0.3722 0.7517  10 Sm 3.59-3.67, 1 Th 3.60, 1 Pm 3.64
Sm: 0.8751 0.6251 0.5000  12 Sm 3.63-3.64
Sm: 0.6278 0.8778 0.2483  10 Sm 3.59-3.67, 1 Th 3.60, 1 Pm 3.64
Sm: 0.1222 0.3722 0.2483  10 Sm 3.59-3.67, 1 Th 3.60, 1 Pm 3.64
Sm: 0.1222 0.3722 0.7517  10 Sm 3.59-3.67, 1 Th 3.60, 1 Pm 3.64
Sm: 0.8749 0.1251 0.5000  12 Sm 3.62-3.63
Sm: 0.3749 0.1249 0.5000  12 Sm 3.63-3.64
Sm: 0.3751 0.1252 0.0000  8 Sm 3.62, 2 Th 3.63, 2 Pm 3.63
Th: 0.8751 0.1249 0.0000  12 Sm 3.60-3.63
Pm: 0.3748 0.6252 0.0000  12 Sm 3.63-3.64

ΔH_f (0 K) ... 0.022 eV/atom
V ... 33.783 A^3/atom

---

Record 4
## Pm8Sm5Th (GGA-PBE)

Data for a relaxed Pm8Sm5Th crystal.

Cell lengths 8.6004, 8.6005, 8.6005 Å; angles 110.80, 106.84, 110.80 degrees
With the nearest neighbours (Å) after each atom.
Sites, in units of the cell vectors:
Sm: 0.8144 0.6833 0.7147  8 Pm 3.38-3.62, 2 Sm 3.61
Sm: 0.0314 0.3167 0.1311  8 Pm 3.38-3.62, 2 Sm 3.61
Sm: 0.5000 0.0000 0.5000  8 Pm 3.23-3.40
Sm: 0.8689 0.9003 0.1856  8 Pm 3.38-3.62, 2 Sm 3.61
Sm: 0.2853 0.0997 0.9686  8 Pm 3.38-3.62, 2 Sm 3.61
Pm: 0.6627 0.3956 0.9209  5 Sm 3.40-3.62, 4 Pm 3.64-3.80
Pm: 0.3383 0.2689 0.4317  4 Sm 3.23-3.54, 1 Th 3.23
Pm: 0.9306 0.0934 0.6617  4 Sm 3.23-3.54, 1 Th 3.23
Pm: 0.5683 0.9066 0.8372  4 Sm 3.23-3.54, 1 Th 3.23
Pm: 0.7330 0.2583 0.3373  5 Sm 3.40-3.62, 4 Pm 3.64-3.80
Pm: 0.1628 0.7311 0.0694  4 Sm 3.23-3.54, 1 Th 3.23
Pm: 0.5253 0.6044 0.2670  5 Sm 3.40-3.62, 4 Pm 3.64-3.80
Pm: 0.0791 0.7417 0.4747  5 Sm 3.40-3.62, 4 Pm 3.64-3.80
Th: 0.2500 0.5000 0.7500  4 Pm 3.23

ΔH_f (0 K) ... 0.273 eV/atom
V ... 34.924 A^3/atom

---

Record 5
## Pm5Sm12Th2 (GGA-PBE)

Data for a relaxed Pm5Sm12Th2 crystal.

Cell lengths 9.4047, 12.4787, 8.8222 Å; angles 132.30, 90.00, 112.14 degrees
With the nearest neighbours (Å) after each atom.
Sites, in units of the cell vectors:
Sm: 0.3249 0.2921 0.0508  4 Sm 3.36-3.76, 1 Th 3.39, 3 Pm 3.54-3.74
Sm: 0.9672 0.2921 0.0508  4 Sm 3.36-3.76, 1 Th 3.39, 3 Pm 3.54-3.74
Sm: 0.1716 0.7357 0.4214  4 Pm 3.47-3.86, 5 Sm 3.49-3.71, 1 Th 3.58
Sm: 0.0328 0.7079 0.9492  4 Sm 3.36-3.76, 1 Th 3.39, 3 Pm 3.54-3.74
Sm: 0.5641 0.7357 0.4214  4 Pm 3.47-3.86, 5 Sm 3.49-3.71, 1 Th 3.58
Sm: 0.6751 0.7079 0.9492  4 Sm 3.36-3.76, 1 Th 3.39, 3 Pm 3.54-3.74
Sm: 0.4432 0.8864 0.2261  2 Pm 3.40-3.69, 7 Sm 3.44-3.71, 2 Th 3.46
Sm: 0.4359 0.2643 0.5786  4 Pm 3.47-3.86, 5 Sm 3.49-3.71, 1 Th 3.58
Sm: 0.0697 0.1394 0.2612  3 Sm 3.17-3.49, 1 Pm 3.46, 2 Th 3.51
Sm: 0.8284 0.2643 0.5786  4 Pm 3.47-3.86, 5 Sm 3.49-3.71, 1 Th 3.58
Sm: 0.9303 0.8606 0.7388  3 Sm 3.17-3.49, 1 Pm 3.46, 2 Th 3.51
Sm: 0.5568 0.1136 0.7739  2 Pm 3.40-3.69, 7 Sm 3.44-3.71, 2 Th 3.46
Th: 0.6668 0.0000 0.0000  1 Th 3.14, 6 Sm 3.39-3.51
Th: 0.3332 0.0000 0.0000  1 Th 3.14, 6 Sm 3.39-3.51
Pm: 0.2910 0.5820 0.6208  8 Sm 3.56-3.86, 1 Pm 3.56, 2 Th 3.68
Pm: 0.7090 0.4180 0.3792  8 Sm 3.56-3.86, 1 Pm 3.56, 2 Th 3.68
Pm: 0.2333 0.4666 0.9008  7 Sm 3.40-3.66, 2 Pm 3.56-3.73
Pm: 0.0000 0.0000 0.5000  10 Sm 3.46-3.86, 2 Pm 3.73
Pm: 0.7667 0.5334 0.0992  7 Sm 3.40-3.66, 2 Pm 3.56-3.73

ΔH_f (0 K) ... 0.142 eV/atom
V ... 34.682 A^3/atom
Energy above the most stable polymorph in this dataset ... 213 kJ/mol of formula units

---

Record 6
## Pm3Sm3Th2 (GGA-PBE)

Data for a relaxed Pm3Sm3Th2 crystal.

Cell lengths 5.1024, 5.1027, 10.9746 Å; angles 103.43, 103.44, 90.00 degrees
With the nearest neighbours (Å) after each atom.
Sites, in units of the cell vectors:
Pm: 0.0000 0.5000 0.0000  8 Sm 3.61-3.69, 4 Pm 3.70
Pm: 0.8710 0.8710 0.7420  4 Th 3.58, 6 Sm 3.61-3.70, 2 Pm 3.70
Pm: 0.1290 0.1290 0.2580  4 Th 3.58, 6 Sm 3.61-3.70, 2 Pm 3.70
Sm: 0.5000 0.0000 0.0000  8 Pm 3.61-3.70, 4 Sm 3.69
Sm: 0.3711 0.3711 0.7422  4 Th 3.58, 6 Pm 3.61-3.69, 2 Sm 3.69
Sm: 0.6289 0.6289 0.2578  4 Th 3.58, 6 Pm 3.61-3.69, 2 Sm 3.69
Th: 0.2499 0.7499 0.4998  4 Pm 3.58, 4 Sm 3.58, 4 Th 3.61
Th: 0.7501 0.2501 0.5002  4 Pm 3.58, 4 Sm 3.58, 4 Th 3.61

ΔH_f (0 K) ... 0.035 eV/atom
V ... 33.733 A^3/atom

---

Record 7
## Pm5Sm4Th4 (GGA-PBE)

Data for a relaxed Pm5Sm4Th4 crystal.

Cell lengths 5.0965, 9.5999, 9.5999 Å; angles 85.96, 74.61, 74.61 degrees
With the nearest neighbours (Å) after each atom.
Sites, in units of the cell vectors:
Sm: 0.7653 0.3875 0.0820  6 Pm 3.56-3.67, 4 Th 3.58-3.73, 2 Sm 3.62
Sm: 0.1528 0.0820 0.6125  6 Pm 3.56-3.67, 4 Th 3.58-3.73, 2 Sm 3.62
Sm: 0.2347 0.6125 0.9180  6 Pm 3.56-3.67, 4 Th 3.58-3.73, 2 Sm 3.62
Sm: 0.8472 0.9180 0.3875  6 Pm 3.56-3.67, 4 Th 3.58-3.73, 2 Sm 3.62
Th: 0.3878 0.6857 0.5387  5 Th 3.51-3.56, 4 Sm 3.58-3.73, 3 Pm 3.58-3.59
Th: 0.9265 0.4613 0.6857  5 Th 3.51-3.56, 4 Sm 3.58-3.73, 3 Pm 3.58-3.59
Th: 0.0735 0.5387 0.3143  5 Th 3.51-3.56, 4 Sm 3.58-3.73, 3 Pm 3.58-3.59
Th: 0.6122 0.3143 0.4613  5 Th 3.51-3.56, 4 Sm 3.58-3.73, 3 Pm 3.58-3.59
Pm: 0.6978 0.8399 0.7644  5 Sm 3.56-3.67, 3 Th 3.58-3.59, 4 Pm 3.67-3.73
Pm: 0.3022 0.1601 0.2356  5 Sm 3.56-3.67, 3 Th 3.58-3.59, 4 Pm 3.67-3.73
Pm: 0.4623 0.2356 0.8399  5 Sm 3.56-3.67, 3 Th 3.58-3.59, 4 Pm 3.67-3.73
Pm: 0.0000 0.0000 0.0000  4 Sm 3.67, 8 Pm 3.67
Pm: 0.5377 0.7644 0.1601  5 Sm 3.56-3.67, 3 Th 3.58-3.59, 4 Pm 3.67-3.73

ΔH_f (0 K) ... 0.037 eV/atom
V ... 33.584 A^3/atom

---

Record 8
## Pm12SmTh7 (GGA-PBE)

Data for a relaxed Pm12SmTh7 crystal.

Cell lengths 10.0386, 10.0386, 10.0386 Å; angles 109.47, 109.47, 109.47 degrees
With the nearest neighbours (Å) after each atom.
Sites, in units of the cell vectors:
Th: 0.0000 0.0000 0.5000  6 Pm 2.98
Th: 0.5000 0.5000 0.0000  8 Pm 3.49-3.87
Th: 0.5000 0.0000 0.5000  8 Pm 3.49-3.87
Th: 0.0000 0.5000 0.5000  8 Pm 3.49-3.87
Th: 0.5000 0.5000 0.5000  6 Pm 2.98
Th: 0.5000 0.0000 0.0000  6 Pm 2.98
Th: 0.0000 0.5000 0.0000  6 Pm 2.98
Pm: 0.5343 0.3052 0.2290  2 Th 2.98
Pm: 0.0762 0.3052 0.7710  2 Th 2.98
Pm: 0.3052 0.2290 0.5343  2 Th 2.98
Pm: 0.7710 0.0762 0.3052  2 Th 2.98
Pm: 0.6948 0.2290 0.9238  2 Th 2.98
Pm: 0.2290 0.5343 0.3052  2 Th 2.98
Pm: 0.9238 0.6948 0.2290  2 Th 2.98
Pm: 0.3052 0.7710 0.0762  2 Th 2.98
Pm: 0.2290 0.9238 0.6948  2 Th 2.98
Pm: 0.7710 0.4657 0.6948  2 Th 2.98
Pm: 0.4657 0.6948 0.7710  2 Th 2.98
Pm: 0.6948 0.7710 0.4657  2 Th 2.98
Sm: 0.0000 0.0000 0.0000  12 Pm 4.42

ΔH_f (0 K) ... 0.868 eV/atom
V ... 38.938 A^3/atom

---

Record 9
## PmSm2Th2 (GGA-PBE)

Data for a relaxed PmSm2Th2 crystal.

Cell lengths 3.6109, 3.6109, 14.8793 Å; angles 83.03, 83.03, 60.00 degrees
With the nearest neighbours (Å) after each atom.
Sites, in units of the cell vectors:
Th: 0.8013 0.8013 0.5960  9 Th 3.51-3.61, 3 Sm 3.59
Th: 0.1987 0.1987 0.4040  9 Th 3.51-3.61, 3 Sm 3.59
Sm: 0.4018 0.4018 0.7947  3 Th 3.59, 6 Sm 3.61, 3 Pm 3.67
Sm: 0.5982 0.5982 0.2053  3 Th 3.59, 6 Sm 3.61, 3 Pm 3.67
Pm: 0.0000 0.0000 0.0000  6 Pm 3.61, 6 Sm 3.67

ΔH_f (0 K) ... 0.021 eV/atom
V ... 33.271 A^3/atom
Energy above the most stable polymorph in this dataset ... 0 kJ/mol of formula units

---

Record 10
## Pm8Sm6Th (GGA-PBE)

Data for a relaxed Pm8Sm6Th crystal.

Cell lengths 8.8017, 8.8017, 8.8017 Å; angles 63.26, 63.26, 63.26 degrees
With the nearest neighbours (Å) after each atom.
Sites, in units of the cell vectors:
Pm: 0.7171 0.7534 0.1139  3 Sm 3.44-3.79, 5 Pm 3.47-3.52, 1 Th 3.55
Pm: 0.4225 0.4225 0.4225  4 Pm 3.26-3.47, 3 Sm 3.44
Pm: 0.7534 0.1139 0.7171  3 Sm 3.44-3.79, 5 Pm 3.47-3.52, 1 Th 3.55
Pm: 0.2466 0.8861 0.2829  3 Sm 3.44-3.79, 5 Pm 3.47-3.52, 1 Th 3.55
Pm: 0.5775 0.5775 0.5775  4 Pm 3.26-3.47, 3 Sm 3.44
Pm: 0.1139 0.7171 0.7534  3 Sm 3.44-3.79, 5 Pm 3.47-3.52, 1 Th 3.55
Pm: 0.8861 0.2829 0.2466  3 Sm 3.44-3.79, 5 Pm 3.47-3.52, 1 Th 3.55
Pm: 0.2829 0.2466 0.8861  3 Sm 3.44-3.79, 5 Pm 3.47-3.52, 1 Th 3.55
Th: 0.0000 0.0000 0.0000  6 Sm 3.53, 6 Pm 3.55
Sm: 0.4617 0.7620 0.9005  4 Pm 3.44-3.79, 1 Th 3.53, 4 Sm 3.59-3.84
Sm: 0.5383 0.2380 0.0995  4 Pm 3.44-3.79, 1 Th 3.53, 4 Sm 3.59-3.84
Sm: 0.2380 0.0995 0.5383  4 Pm 3.44-3.79, 1 Th 3.53, 4 Sm 3.59-3.84
Sm: 0.0995 0.5383 0.2380  4 Pm 3.44-3.79, 1 Th 3.53, 4 Sm 3.59-3.84
Sm: 0.9005 0.4617 0.7620  4 Pm 3.44-3.79, 1 Th 3.53, 4 Sm 3.59-3.84
Sm: 0.7620 0.9005 0.4617  4 Pm 3.44-3.79, 1 Th 3.53, 4 Sm 3.59-3.84

ΔH_f (0 K) ... 0.117 eV/atom
V ... 34.465 A^3/atom

---

| no. | density of states at the Fermi level (states/eV/f.u.) |
| --- | --- |
| 1 | 11.49 |
| 2 | 27.62 |
| 3 | 22.89 |
| 4 | 22.44 |
| 5 | 26.01 |
| 6 | 9.94 |
| 7 | 18.40 |
| 8 | 43.58 |
| 9 | 7.49 |
| 10 | 23.26 |